A relaxed NdZn6Ir4 crystal. Source: Alexandria, functional PBE.

## Properties
Its energy relative to the elements is -77 meV/atom. The calculation puts the magnetic moment at 0.00 μB/f.u. As for the space group: I-42m, No. 121.

```
11
Lattice="-3.300 3.300 4.730 3.300 -3.300 4.730 3.300 3.300 -4.730" Properties=species:S:1:pos:R:3 pbc="T T T"
Nd 0.000 0.000 0.000
Zn 3.300 0.000 0.000
Zn 2.054 2.054 -1.939
Zn 1.247 1.247 2.791
Zn 0.000 3.300 0.000
Zn 1.247 -1.247 6.669
Zn -1.247 1.247 6.669
Ir 1.117 -1.117 4.006
Ir 2.184 2.184 0.724
Ir -1.117 1.117 4.006
Ir 1.117 1.117 5.454
```